1.
Below is an optimized crystal structure of Pr2ZnRh2, with properties calculated at the PBE-GGA level.

Lattice parameters (Å, degrees): 5.8337 5.8337 7.9899 104.35 104.35 57.24
Atoms (fractional coordinates):
1 Pr 0.0013 0.7057 0.8507
2 Pr 0.2943 0.9987 0.6493
3 Pr 0.7057 0.0013 0.3507
4 Pr 0.9987 0.2943 0.1493
5 Zn 0.3631 0.6369 0.2500
6 Zn 0.6369 0.3631 0.7500
7 Rh 0.2253 0.5088 0.4869
8 Rh 0.4912 0.7747 0.0131
9 Rh 0.5088 0.2253 0.9869
10 Rh 0.7747 0.4912 0.5131

Output
The energy relative to the elements is -639 meV/atom. The space-group type is C2/c (15).

2.
Below is an optimized crystal structure of Na3Sr2NbSe6, with properties calculated at the PBE-GGA level.

Lattice parameters (Å, degrees): 7.3898 7.3898 7.3252 99.84 99.84 120.08
Atoms (fractional coordinates):
1 Na 0.0000 0.0000 0.0000
2 Na 0.3332 0.6668 0.0000
3 Na 0.6668 0.3332 0.0000
4 Sr 0.1673 0.8327 0.5000
5 Sr 0.8327 0.1673 0.5000
6 Nb 0.5000 0.5000 0.5000
7 Se 0.1312 0.4227 0.2686
8 Se 0.2869 0.2869 0.7237
9 Se 0.4227 0.1312 0.2686
10 Se 0.5773 0.8688 0.7314
11 Se 0.7131 0.7131 0.2763
12 Se 0.8688 0.5773 0.7314

Output
The value obtained for the energy relative to the elements, uncorrected is -1281 meV/atom. The space-group type is C2/m (12).

3.
Below is an optimized crystal structure of ZnIrPtPb2, with properties calculated at the PBE-GGA level.

Lattice parameters (Å, degrees): 5.1518 5.1518 4.6138 90.00 90.00 90.00
Atoms (fractional coordinates):
1 Zn 0.0000 0.0000 0.0000
2 Ir 0.0000 0.0000 0.5000
3 Pt 0.5000 0.5000 0.5000
4 Pb 0.0000 0.5000 0.0000
5 Pb 0.5000 0.0000 0.0000

Output
The energy relative to the elements is 993 meV/atom. The space-group type is P4/mmm (123).

4.
Below is an optimized crystal structure of Be3IBr, with properties calculated at the PBE-GGA level.

Lattice parameters (Å, degrees): 4.7898 4.7898 4.7898 90.00 90.00 90.00
Atoms (fractional coordinates):
1 Be 0.0000 0.0000 0.5000
2 Be 0.0000 0.5000 0.0000
3 Be 0.5000 0.0000 0.0000
4 I 0.5000 0.5000 0.5000
5 Br 0.0000 0.0000 0.0000

Output
The value obtained for the energy relative to the elements, uncorrected is 1388 meV/atom. The space-group type is Pm-3m (221).

5.
Below is an optimized crystal structure of GaBrNF2, with properties calculated at the PBE-GGA level.

Lattice parameters (Å, degrees): 4.8267 4.8267 3.7029 90.00 90.00 90.00
Atoms (fractional coordinates):
1 Ga 0.0000 0.0000 0.0000
2 Br 0.5000 0.5000 0.5000
3 N 0.5000 0.5000 0.0000
4 F 0.0000 0.5000 0.5000
5 F 0.5000 0.0000 0.5000

Output
The value obtained for the energy relative to the elements, uncorrected is 175 meV/atom. The space-group type is P4/mmm (123).

6.
Below is an optimized crystal structure of BeFeReOs, with properties calculated at the PBE-GGA level.

Lattice parameters (Å, degrees): 4.1367 4.1367 4.1367 60.00 60.00 60.00
Atoms (fractional coordinates):
1 Be 0.0000 0.0000 0.0000
2 Fe 0.7500 0.7500 0.7500
3 Re 0.5000 0.5000 0.5000
4 Os 0.2500 0.2500 0.2500

Output
The energy relative to the elements is 86 meV/atom. The space-group type is F-43m (216).

7.
Below is an optimized crystal structure of CaZrSe2, with properties calculated at the PBE-GGA level.

Lattice parameters (Å, degrees): 8.7969 8.7969 8.7969 26.68 26.68 26.68
Atoms (fractional coordinates):
1 Ca 0.0000 0.0000 0.0000
2 Zr 0.5000 0.5000 0.5000
3 Se 0.4004 0.4004 0.4004
4 Se 0.5996 0.5996 0.5996

Output
The value obtained for the energy relative to the elements, uncorrected is -912 meV/atom. The space-group type is R-3m (166).

8.
Below is an optimized crystal structure of GaSi3F, with properties calculated at the PBE-GGA level.

Lattice parameters (Å, degrees): 4.7952 4.7952 4.7952 90.00 90.00 90.00
Atoms (fractional coordinates):
1 Ga 0.0000 0.0000 0.0000
2 Si 0.0000 0.0000 0.5000
3 Si 0.0000 0.5000 0.0000
4 Si 0.5000 0.0000 0.0000
5 F 0.5000 0.5000 0.5000

Output
The value obtained for the energy relative to the elements, uncorrected is 776 meV/atom. The space-group type is Pm-3m (221).